# Mg3NbIr, optimized geometry, DFT GGA-PBE
# Total DFT energy (no corrections) in eV per atom: -2.86
# Calculated formation energy in eV/f.u.: 9.402
data_Mg3NbIr
_chemical_formula_sum 'Mg3 Nb1 Ir1'
_space_group_name_H-M_alt 'P m -3 m'
_space_group_IT_number 221
_space_group_name_Hall '-P 4 2 3'
_cell_length_a 5.067
_cell_length_b 5.067
_cell_length_c 5.067
_cell_angle_alpha 90.00
_cell_angle_beta 90.00
_cell_angle_gamma 90.00
loop_
_atom_site_label
_atom_site_type_symbol
_atom_site_fract_x
_atom_site_fract_y
_atom_site_fract_z
Mg1 Mg 0.000 0.000 0.500
Nb1 Nb 0.000 0.000 0.000
Ir1 Ir 0.500 0.500 0.500